Density functional theory data (PBE-GGA) for a relaxed ZnFe3Se crystal.

Calculated values
DOS at the Fermi energy   2.553 states/eV per cell
Calculated volume   16.577 Å³/atom
Total magnetic moment   1.246 μB/atom
Polymorph energy (0 for the lowest one)   0.000 eV per atom

a b c (Å): 4.3601 4.3601 4.3601
angles (deg): 90.00 90.00 90.00
Space group Pm-3m (No. 221)
One atom of each set of equivalent atoms:
Zn 0.0000 0.0000 0.0000
Fe 0.0000 0.5000 0.5000
Se 0.5000 0.5000 0.5000